Compound: AcTbGa2Au2
Source: the Alexandria database
Functional: GGA-PBE
Structure: optimized geometry

Cell lengths 4.615, 4.615, 7.713 Å; angles 90.00, 90.00, 120.00 degrees
Positions (direct):
Ac: 0.000 0.000 0.000
Tb: 0.000 0.000 0.500
Ga: 0.333 0.667 0.291
Ga: 0.667 0.333 0.709
Au: 0.333 0.667 0.712
Au: 0.667 0.333 0.288

Results
Energy of formation from the pure elements = -0.78 eV per atom
Calculated total energy = -4.336 eV/atom
Space-group type = P-3m1, No. 164